A | First-principles (PBE) data for crystalline LiSmCd2 at its relaxed geometry, as listed in the Alexandria database.

Results
- Total magnetic moment: 0.169 μB per formula unit

CIF file:
```
data_LiSmCd2
_chemical_formula_sum 'Li1 Sm1 Cd2'
_cell_length_a 3.4781
_cell_length_b 3.4781
_cell_length_c 7.6164
_cell_angle_alpha 90.00
_cell_angle_beta 90.00
_cell_angle_gamma 90.00
_space_group_name_H-M_alt 'P 4/m m m'
_space_group_IT_number 123
_space_group_name_Hall '-P 4 2'
loop_
_atom_site_label
_atom_site_type_symbol
_atom_site_fract_x
_atom_site_fract_y
_atom_site_fract_z
Li1 Li 0.0000 0.0000 0.0000
Sm1 Sm 0.0000 0.0000 0.5000
Cd1 Cd 0.5000 0.5000 0.2068
```

***

B | First-principles (PBE) data for crystalline LiSmCd2 at its relaxed geometry, as listed in the Alexandria database.

Results
- Total magnetic moment: 0.000 μB per formula unit

CIF file:
```
data_LiSmCd2
_chemical_formula_sum 'Li1 Sm1 Cd2'
_cell_length_a 5.3224
_cell_length_b 5.3224
_cell_length_c 3.5341
_cell_angle_alpha 90.00
_cell_angle_beta 90.00
_cell_angle_gamma 90.00
_space_group_name_H-M_alt 'P 4/m m m'
_space_group_IT_number 123
_space_group_name_Hall '-P 4 2'
loop_
_atom_site_label
_atom_site_type_symbol
_atom_site_fract_x
_atom_site_fract_y
_atom_site_fract_z
Li1 Li 0.0000 0.0000 0.0000
Sm1 Sm 0.5000 0.5000 0.0000
Cd1 Cd 0.0000 0.5000 0.5000
```

***

Most favorable first, least favorable last: A, B

***

A | First-principles (PBE) data for crystalline LiSm2Cd4 at its relaxed geometry, as listed in the Alexandria database.

Results
- Total magnetic moment: 0.000 μB per formula unit

CIF file:
```
data_LiSm2Cd4
_chemical_formula_sum 'Li3 Sm6 Cd12'
_cell_length_a 5.2579
_cell_length_b 5.2579
_cell_length_c 21.7624
_cell_angle_alpha 90.00
_cell_angle_beta 90.00
_cell_angle_gamma 120.00
_space_group_name_H-M_alt 'R -3 m'
_space_group_IT_number 166
_space_group_name_Hall '-R 3 2"'
loop_
_atom_site_label
_atom_site_type_symbol
_atom_site_fract_x
_atom_site_fract_y
_atom_site_fract_z
Li1 Li 0.0000 0.0000 0.0000
Sm1 Sm 0.0000 0.0000 0.2774
Cd1 Cd 0.0000 0.0000 0.1257
Cd2 Cd 0.0000 0.0000 0.4282
```

***

B | First-principles (PBE) data for crystalline LiSm2Cd4 at its relaxed geometry, as listed in the Alexandria database.

Results
- Total magnetic moment: 0.000 μB per formula unit

CIF file:
```
data_LiSm2Cd4
_chemical_formula_sum 'Li2 Sm4 Cd8'
_cell_length_a 4.7652
_cell_length_b 4.7652
_cell_length_c 16.1064
_cell_angle_alpha 90.00
_cell_angle_beta 90.00
_cell_angle_gamma 90.00
_space_group_name_H-M_alt 'I 4/m m m'
_space_group_IT_number 139
_space_group_name_Hall '-I 4 2'
loop_
_atom_site_label
_atom_site_type_symbol
_atom_site_fract_x
_atom_site_fract_y
_atom_site_fract_z
Li1 Li 0.0000 0.0000 0.0000
Sm1 Sm 0.0000 0.0000 0.3550
Cd1 Cd 0.0000 0.0000 0.1592
Cd2 Cd 0.0000 0.5000 0.0000
```

***

Most favorable first, least favorable last: A, B

***

A | First-principles (PBE) data for crystalline LiSmCd at its relaxed geometry, as listed in the Alexandria database.

Results
- Total magnetic moment: 0.000 μB per formula unit

CIF file:
```
data_LiSmCd
_chemical_formula_sum 'Li2 Sm2 Cd2'
_cell_length_a 3.5349
_cell_length_b 3.4824
_cell_length_c 11.8662
_cell_angle_alpha 90.00
_cell_angle_beta 90.17
_cell_angle_gamma 90.00
_space_group_name_H-M_alt 'P 1 21/m 1'
_space_group_IT_number 11
loop_
_space_group_symop_operation_xyz
'x,y,z'
'-x,-y,-z'
'-x,y+1/2,-z'
'x,-y+1/2,z'
loop_
_atom_site_label
_atom_site_type_symbol
_atom_site_fract_x
_atom_site_fract_y
_atom_site_fract_z
Li1 Li 0.2493 0.2500 0.4296
Sm1 Sm 0.2496 0.2500 0.1131
Cd1 Cd 0.2509 0.2500 0.6969
```

***

B | First-principles (PBE) data for crystalline LiSmCd at its relaxed geometry, as listed in the Alexandria database.

Results
- Total magnetic moment: 0.063 μB per formula unit

CIF file:
```
data_LiSmCd
_chemical_formula_sum 'Li1 Sm1 Cd1'
_cell_length_a 5.0376
_cell_length_b 5.0376
_cell_length_c 3.3004
_cell_angle_alpha 90.00
_cell_angle_beta 90.00
_cell_angle_gamma 120.00
_space_group_name_H-M_alt 'P 3 m 1'
_space_group_IT_number 156
loop_
_space_group_symop_operation_xyz
'x,y,z'
'-y,x-y,z'
'-x+y,-x,z'
'-y,-x,z'
'-x+y,y,z'
'x,x-y,z'
loop_
_atom_site_label
_atom_site_type_symbol
_atom_site_fract_x
_atom_site_fract_y
_atom_site_fract_z
Li1 Li 0.0000 0.0000 0.0000
Sm1 Sm 0.3333 0.6667 0.5011
Cd1 Cd 0.6667 0.3333 0.0018
```

***

Most favorable first, least favorable last: B, A